(1)
Entry from Alexandria via LeMat-Bulk: a relaxed structure of KMg2S (GGA-PBE).

The value obtained for the volume is 28.9 A^3/atom. The density of states at the Fermi level comes out at 2.6 states/eV/f.u. For the uncorrected formation energy, the calculation gives -148 kJ/mol of formula units.

Lattice parameters (Å, degrees): 8.7324 8.7324 6.0652 90.00 90.00 90.00
Space group I-42d (No. 122)
One atom of each set of equivalent atoms:
K 0.0000 0.0000 0.0000 (multiplicity 4)
Mg 0.1585 0.2500 0.6250 (multiplicity 8)
S 0.0000 0.0000 0.5000 (multiplicity 4)



(2)
Entry from Alexandria via LeMat-Bulk: a relaxed structure of K6MgS4 (GGA-PBE).

The value obtained for the volume is 30.4 A^3/atom. The density of states at the Fermi level comes out at 0.0 states/eV/f.u. For the uncorrected formation energy, the calculation gives -1259 kJ/mol of formula units.

Lattice parameters (Å, degrees): 9.9746 9.9746 7.7539 90.00 90.00 120.00
Space group P6_3mc (No. 186)
One atom of each set of equivalent atoms:
K 0.0612 0.5306 0.0000 (multiplicity 6)
K 0.1463 0.2925 0.3236 (multiplicity 6)
Mg 0.3333 0.6667 0.6137 (multiplicity 2)
S 0.1952 0.3904 0.7144 (multiplicity 6)
S 0.3333 0.6667 0.2907 (multiplicity 2)



(3)
Entry from Alexandria via LeMat-Bulk: a relaxed structure of K2Mg2S3 (GGA-PBE).

The value obtained for the volume is 26.2 A^3/atom. The density of states at the Fermi level comes out at 0.0 states/eV/f.u. For the uncorrected formation energy, the calculation gives -903 kJ/mol of formula units.

Lattice parameters (Å, degrees): 16.1477 14.3135 6.9814 90.00 114.45 90.00
Space group C2/c (No. 15)
One atom of each set of equivalent atoms:
K 0.0000 0.0688 0.2500 (multiplicity 4)
K 0.0000 0.2153 0.7500 (multiplicity 4)
K 0.0956 0.4095 0.5702 (multiplicity 8)
Mg 0.1912 0.2314 0.2601 (multiplicity 8)
Mg 0.2212 0.0753 0.8002 (multiplicity 8)
S 0.1189 0.3749 0.0726 (multiplicity 8)
S 0.1499 0.2069 0.5614 (multiplicity 8)
S 0.1652 0.0739 0.0851 (multiplicity 8)



(4)
Entry from Alexandria via LeMat-Bulk: a relaxed structure of KMgS2 (GGA-PBE).

The value obtained for the volume is 31.9 A^3/atom. The density of states at the Fermi level comes out at 1.1 states/eV/f.u. For the uncorrected formation energy, the calculation gives -332 kJ/mol of formula units.

Lattice parameters (Å, degrees): 5.8568 5.8568 14.8885 90.00 90.00 90.00
Space group I4_1/amd (No. 141, origin choice 2)
One atom of each set of equivalent atoms:
K 0.0000 0.2500 0.3750 (multiplicity 4)
Mg 0.0000 0.2500 0.8750 (multiplicity 4)
S 0.0000 0.0000 0.0000 (multiplicity 8)